The following is a GGA-PBE calculation of CuAg2Pt5 after structural relaxation, from Alexandria.

The total energy comes out at -5.03 eV per atom. For the magnetic moment, the calculation gives 0.00 μB per cell. The density of states at the Fermi level is 0.87 states/eV/atom. Its crystal system is tetragonal. The calculation puts the density at 16.5 g/cm3.

The structure belongs to space group I4/mmm (No. 139); the cell edges are 3.9410, 3.9410 and 16.2583 Å and the angles 90.00°, 90.00° and 90.00°. The asymmetric unit holds Cu at (0.0000, 0.0000, 0.0000), Ag at (0.0000, 0.0000, 0.2501), Pt at (0.0000, 0.0000, 0.5000) and Pt at (0.0000, 0.5000, 0.1169).